Computed, not measured: a crystal of K2CoRe relaxed with PBEsol at the SCAN level of DFT.

Output
- Space group: P4mm
- Calculated volume: 25.090 Å³ per atom
- Energy relative to the lowest polymorph listed for this composition: 0 meV/atom
- Calculated formation energy: 931 meV/atom
- Density of states at the Fermi level: 2.510 states/eV/f.u.

Cell: 3.093 3.093 10.489 Å, 90.00 90.00 90.00°
Positions (direct):
Re1 0.000 0.000 0.584
K1 0.000 0.000 0.914
K2 0.500 0.500 0.328
Co1 0.500 0.500 0.674